#w
A plane-wave DFT calculation with PBE was carried out for a geometry-optimized Ce2PuHg structure.

```
4
Lattice="5.3007 0.0000 0.0000 2.6503 4.5905 0.0000 2.6503 1.5302 4.3280" Properties=species:S:1:pos:R:3 pbc="T T T"
Hg 0.0000 0.0000 0.0000
Ce 2.6503 1.5302 1.0820
Ce 7.9510 4.5905 3.2460
Pu 5.3007 3.0603 2.1640
```

Summary:
Its symmetry is Fm-3m. The total magnetization is 2.286 μB per atom. The density comes out at 11.43 Mg/m³.


#x
A plane-wave DFT calculation with PBE was carried out for a geometry-optimized Ce2PuHg structure.

```
8
Lattice="-0.0616 2.2006 3.1642 -7.2369 4.5204 -3.2846 4.1976 -8.6636 6.1069" Properties=species:S:1:pos:R:3 pbc="T T T"
Ce -1.5467 -2.6306 5.3212
Ce -1.5542 0.6880 0.6652
Ce -3.9594 0.1939 3.3100
Ce 0.8585 -2.1365 2.6765
Pu -0.9850 -0.6560 3.9589
Pu -2.1159 -1.2866 2.0275
Hg -3.8733 2.9006 1.4293
Hg 0.7724 -4.8431 4.5572
```

Summary:
Its symmetry is P2_1/m. The total magnetization is 0.000 μB per atom. The density comes out at 11.72 Mg/m³.


Unit: meV/atom. Relative energies: #w 11; #x 0.


#w
A plane-wave DFT calculation with PBE was carried out for a geometry-optimized Ce6PuHg2 structure.

```
9
Lattice="-0.0659 -4.9970 2.4512 4.7811 2.5107 5.2468 -7.1899 3.0401 -0.3055" Properties=species:S:1:pos:R:3 pbc="T T T"
Ce -0.2822 1.0979 2.2307
Ce -4.7621 -1.8935 2.3420
Ce -2.1926 -0.5441 5.1618
Ce 0.7891 -2.0668 2.1277
Ce 2.2874 2.4473 5.0506
Ce 3.9261 -0.4195 5.5703
Pu 0.0000 0.0000 0.0000
Hg 0.9419 -0.7179 4.8877
Hg -3.4167 1.2717 2.5049
```

Summary:
Its symmetry is Immm. The total magnetization is 0.308 μB per atom. The density comes out at 9.41 Mg/m³.


#x
A plane-wave DFT calculation with PBE was carried out for a geometry-optimized Ce6PuHg2 structure.

```
9
Lattice="1.5799 -6.8734 0.0606 6.3213 -2.1838 -2.2395 4.7101 -2.4959 4.6204" Properties=species:S:1:pos:R:3 pbc="T T T"
Ce 5.5209 -4.1670 2.8848
Ce 6.3140 -4.0174 -0.4766
Ce 6.2972 -7.5358 2.9181
Ce 3.9904 -6.3156 0.6506
Ce 8.6208 -5.2375 1.7909
Ce 7.0904 -7.3861 -0.4433
Pu 6.3056 -5.7766 1.2207
Hg 3.1520 -2.8878 0.6097
Hg 9.4592 -8.6653 1.8318
```

Summary:
Its symmetry is Fm-3m. The total magnetization is 0.001 μB per atom. The density comes out at 9.94 Mg/m³.


Unit: meV/atom. Relative energies: #w 325; #x 0.


#w
A plane-wave DFT calculation with PBE was carried out for a geometry-optimized CePuHgRu structure.

```
4
Lattice="3.3132 0.0000 0.0000 0.0000 3.3132 0.0000 0.0000 0.0000 8.4598" Properties=species:S:1:pos:R:3 pbc="T T T"
Ce 1.6566 1.6566 6.5888
Pu 1.6566 1.6566 3.0578
Hg 0.0000 0.0000 0.6251
Ru 0.0000 0.0000 4.8266
```

Summary:
Its symmetry is P4mm. The total magnetization is 1.441 μB per atom. The density comes out at 12.26 Mg/m³.


#x
A plane-wave DFT calculation with PBE was carried out for a geometry-optimized CePuHgRu structure.

```
4
Lattice="5.0865 0.0000 0.0000 2.5433 4.4050 0.0000 2.5433 1.4683 4.1531" Properties=species:S:1:pos:R:3 pbc="T T T"
Ru 7.6298 4.4050 3.1148
Hg 2.5433 1.4683 1.0383
Ce 0.0000 0.0000 0.0000
Pu 5.0865 2.9367 2.0766
```

Summary:
Its symmetry is F-43m. The total magnetization is 1.473 μB per atom. The density comes out at 12.24 Mg/m³.


Unit: meV/atom. Relative energies: #w 0; #x 158.


#w
A plane-wave DFT calculation with PBE was carried out for a geometry-optimized RbCeHg2 structure.

```
4
Lattice="-2.6699 -0.3137 2.8235 0.7896 -3.8040 0.3240 6.1869 1.7995 6.0501" Properties=species:S:1:pos:R:3 pbc="T T T"
Rb 2.1533 -1.1591 4.5988
Hg 4.9467 1.4388 4.8374
Hg 1.2401 0.3607 1.2127
Ce -0.9402 -2.0589 1.5738
```

Summary:
Its symmetry is P4/mmm. The total magnetization is 0.368 μB per atom. The density comes out at 7.75 Mg/m³.


#x
A plane-wave DFT calculation with PBE was carried out for a geometry-optimized RbCeHg2 structure.

```
4
Lattice="4.0568 0.0000 0.0000 2.0284 3.5133 0.0000 2.0284 1.1711 10.1415" Properties=species:S:1:pos:R:3 pbc="T T T"
Rb 4.0568 2.3422 5.0707
Hg 6.0852 3.5133 7.9578
Hg 2.0284 1.1711 2.1837
Ce 0.0000 0.0000 0.0000
```

Summary:
Its symmetry is R-3m. The total magnetization is 0.253 μB per atom. The density comes out at 7.20 Mg/m³.


Unit: meV/atom. Relative energies: #w 0; #x 142.


#w
A plane-wave DFT calculation with PBE was carried out for a geometry-optimized Ce3HgRu structure.

```
10
Lattice="-0.4414 -3.6392 4.1042 4.6534 -1.1220 -4.1593 2.8896 6.0566 5.6673" Properties=species:S:1:pos:R:3 pbc="T T T"
Ce 3.4259 -1.8339 -1.2493
Ce 2.9172 3.0156 2.9873
Ce 5.1635 0.4372 4.6419
Ce 1.9381 0.8583 0.9703
Ce 3.6757 3.1293 6.8616
Ce 4.1844 -1.7202 2.6249
Hg 1.7739 0.1418 4.0057
Hg 5.3277 1.1536 1.6066
Ru 3.4449 -3.7403 0.7496
Ru 3.6567 5.0358 4.8627
```

Summary:
Its symmetry is P-1. The total magnetization is 0.320 μB per atom. The density comes out at 9.21 Mg/m³.


#x
A plane-wave DFT calculation with PBE was carried out for a geometry-optimized Ce3HgRu structure.

```
20
Lattice="6.4921 -0.0009 -0.0013 -0.0019 8.1561 4.0658 -0.0021 -0.4113 9.1040" Properties=species:S:1:pos:R:3 pbc="T T T"
Ce 3.2486 2.4046 9.1816
Ce 6.4854 0.8884 6.6035
Ce 3.2395 5.3392 3.9870
Ce 0.0027 6.8554 6.5651
Ce 0.0020 5.3397 3.9876
Ce 3.2402 6.8550 6.5645
Ce 6.4861 2.4041 9.1810
Ce 3.2480 0.8888 6.6041
Ce 3.2432 2.2220 3.7787
Ce -0.0012 5.5223 9.3906
Ce 3.2449 5.5218 9.3899
Ce 6.4893 2.2216 3.7780
Hg 1.6209 -0.4080 9.1016
Hg 4.8672 8.1518 4.0670
Hg 1.6210 3.8698 6.5860
Hg 4.8671 3.8740 6.5826
Ru 4.8681 4.0805 2.0343
Ru 4.8662 7.9492 8.6130
Ru 1.6200 3.6634 11.1343
Ru 1.6219 -0.2053 4.5556
```

Summary:
Its symmetry is Cmcm. The total magnetization is 0.131 μB per atom. The density comes out at 9.73 Mg/m³.


Unit: meV/atom. Relative energies: #w 0; #x 32.


#w
A plane-wave DFT calculation with PBE was carried out for a geometry-optimized Ce5Hg2Ru structure.

```
8
Lattice="-6.2866 -3.5183 -2.1565 2.2920 0.2103 -7.3514 3.6342 -1.4849 5.1911" Properties=species:S:1:pos:R:3 pbc="T T T"
Ce -3.0212 -2.5207 -7.2777
Ce -0.5391 -4.0700 1.6733
Ce 0.0961 -0.7725 -6.1277
Ce -0.9522 -0.8315 -2.2923
Ce -1.4029 -2.5901 -4.3720
Hg -2.3398 -3.4051 -0.9636
Hg 1.9470 -1.4606 -3.5442
Ru 0.4063 -0.6364 0.2512
```

Summary:
Its symmetry is P1. The total magnetization is 0.288 μB per atom. The density comes out at 9.67 Mg/m³.


#x
A plane-wave DFT calculation with PBE was carried out for a geometry-optimized Ce5Hg2Ru structure.

```
16
Lattice="5.5815 0.0000 0.0000 -2.7907 8.0146 0.0000 0.0000 0.0000 12.1833" Properties=species:S:1:pos:R:3 pbc="T T T"
Ce 2.7907 7.1192 11.0138
Ce 2.7907 7.1192 7.2612
Ce 0.0000 4.7239 5.1763
Ce 0.0000 4.7239 0.9153
Ce 2.7907 2.9261 3.0458
Ce 0.0000 5.0886 9.1375
Ce 2.7907 3.2907 7.0070
Ce 2.7907 3.2907 11.2680
Ce 0.0000 0.8955 1.1695
Ce 0.0000 0.8955 4.9221
Hg 2.7907 5.8018 4.4773
Hg 2.7907 5.8018 1.6144
Hg 0.0000 2.2129 7.7060
Hg 0.0000 2.2129 10.5689
Ru 2.7907 5.1918 9.1375
Ru 0.0000 2.8228 3.0458
```

Summary:
Its symmetry is Cmcm. The total magnetization is 0.726 μB per atom. The density comes out at 7.33 Mg/m³.


Unit: meV/atom. Relative energies: #w 0; #x 266.


#w
A plane-wave DFT calculation with PBE was carried out for a geometry-optimized Ce3Hg2Ru structure.

```
12
Lattice="-6.1436 3.7264 -2.6658 -5.9241 0.5602 3.4190 1.1631 7.3013 2.7003" Properties=species:S:1:pos:R:3 pbc="T T T"
Ce -5.6454 7.6833 3.0520
Ce -1.7320 2.5076 -0.3520
Ce -5.2591 3.9046 0.4015
Ce -9.1028 5.4151 0.3547
Ce -1.8016 6.1728 3.0987
Ce -3.2484 8.5201 0.3865
Hg 0.0000 0.0000 0.0000
Hg -2.4902 5.5139 0.0172
Hg -4.5949 4.5524 3.5237
Hg -6.3096 7.0356 -0.0702
Ru -7.9555 2.8986 0.3529
Ru -4.1121 1.3879 0.4003
```

Summary:
Its symmetry is C2/m. The total magnetization is 0.383 μB per atom. The density comes out at 9.13 Mg/m³.


#x
A plane-wave DFT calculation with PBE was carried out for a geometry-optimized Ce3Hg2Ru structure.

```
12
Lattice="4.9187 0.0000 -1.6941 -0.5064 6.8014 -1.4703 0.2706 1.9138 8.7732" Properties=species:S:1:pos:R:3 pbc="T T T"
Ce 2.0920 5.1011 -1.9541
Ce 2.3203 1.7004 -1.2103
Ce 4.4454 1.3929 4.9192
Ce 0.4908 3.9216 1.4248
Ce 4.1921 4.7937 4.1840
Ce 0.2375 7.3223 0.6897
Hg 1.5308 2.8651 4.4487
Hg 1.2801 6.2658 3.7127
Hg 3.4028 2.4494 1.8961
Hg 3.1521 5.8501 1.1601
Ru 4.7724 1.7004 -2.0549
Ru -0.3601 5.1011 -1.1095
```

Summary:
Its symmetry is Cmcm. The total magnetization is 0.399 μB per atom. The density comes out at 9.82 Mg/m³.


Unit: meV/atom. Relative energies: #w 77; #x 0.


#w
A plane-wave DFT calculation with PBE was carried out for a geometry-optimized CeHgRu structure.

```
6
Lattice="4.2943 0.6996 0.1058 1.3886 5.0610 -0.0710 -2.2095 -0.9775 6.4723" Properties=species:S:1:pos:R:3 pbc="T T T"
Ce 3.6092 4.2800 4.3814
Ce -0.1358 0.5030 2.1258
Hg -0.2767 0.7618 6.1160
Hg 3.7500 4.0213 0.3912
Ru 1.6180 3.3033 2.2482
Ru 1.8553 1.4798 4.2590
```

Summary:
Its symmetry is C2/m. The total magnetization is 0.000 μB per atom. The density comes out at 10.85 Mg/m³.


#x
A plane-wave DFT calculation with PBE was carried out for a geometry-optimized CeHgRu structure.

```
6
Lattice="3.8385 0.0000 0.0000 0.0000 3.6475 -0.8461 0.0000 0.2591 9.4022" Properties=species:S:1:pos:R:3 pbc="T T T"
Ce 0.9596 3.5360 6.9580
Ce 2.8789 0.3707 1.5980
Hg 2.8789 1.2098 5.2152
Hg 0.9596 2.6969 3.3408
Ru 0.9596 2.0671 0.6261
Ru 2.8789 1.8395 7.9299
```

Summary:
Its symmetry is Cmcm. The total magnetization is 0.000 μB per atom. The density comes out at 11.07 Mg/m³.


#y
A plane-wave DFT calculation with PBE was carried out for a geometry-optimized CeHgRu structure.

```
3
Lattice="3.3141 0.0000 0.0000 0.0000 4.7281 0.0000 0.0000 -2.3640 4.0946" Properties=species:S:1:pos:R:3 pbc="T T T"
Ru 1.0662 2.3640 1.3649
Hg 1.9956 0.0000 2.7297
Ce 0.2524 0.0000 0.0000
```

Summary:
Its symmetry is P3m1. The total magnetization is 0.069 μB per atom. The density comes out at 11.43 Mg/m³.


Unit: meV/atom. Relative energies: #w 50; #x 0; #y 374.


#w
A plane-wave DFT calculation with PBE was carried out for a geometry-optimized Ce4Hg3Ru2 structure.

```
18
Lattice="0.7420 -3.8207 -7.8970 2.4288 4.8061 -6.9651 6.4249 -1.4115 1.4377" Properties=species:S:1:pos:R:3 pbc="T T T"
Ce 5.4023 -2.7826 -8.1776
Ce 6.4339 -3.3205 -5.0649
Ce 4.1934 2.3564 -5.2468
Ce 3.1618 2.8943 -8.3595
Ce 7.2154 -0.5369 -2.8649
Ce 5.8030 0.4802 -9.7246
Ce 2.3803 0.1107 -10.5596
Ce 3.7928 -0.9064 -3.6999
Hg 2.0133 -2.6579 -8.7971
Hg 3.1728 -3.1859 -6.0076
Hg 7.5825 2.2317 -4.6273
Hg 6.4230 2.7597 -7.4169
Hg 6.4616 -0.2719 -6.3210
Hg 3.1341 -0.1543 -7.1034
Ru 6.4870 -2.0377 -10.4003
Ru 5.6163 -2.6997 -2.6948
Ru 3.1088 1.6115 -3.0242
Ru 3.9795 2.2735 -10.7296
```

Summary:
Its symmetry is C2/c. The total magnetization is 0.000 μB per atom. The density comes out at 10.00 Mg/m³.


#x
A plane-wave DFT calculation with PBE was carried out for a geometry-optimized Ce4Hg3Ru2 structure.

```
9
Lattice="-0.4342 5.0074 -0.8672 -2.8470 0.6555 5.2102 7.3021 -1.5363 2.4720" Properties=species:S:1:pos:R:3 pbc="T T T"
Ce -0.2876 2.8311 1.4919
Ce 1.3834 3.5691 4.9168
Ce 4.3085 1.2955 5.3230
Ce 2.6374 0.5574 1.8981
Hg 4.1395 3.4754 2.9957
Hg -0.1186 0.6512 3.8192
Hg 0.0000 0.0000 0.0000
Ru 4.9820 0.7749 1.9800
Ru -0.9612 3.3517 4.8349
```

Summary:
Its symmetry is C2/m. The total magnetization is 0.268 μB per atom. The density comes out at 10.21 Mg/m³.


Unit: meV/atom. Relative energies: #w 6; #x 0.


#w
A plane-wave DFT calculation with PBE was carried out for a geometry-optimized CeThHgRu structure.

```
4
Lattice="-1.7774 -1.9440 2.6321 -1.8503 -2.9268 -3.4111 4.3015 -3.2807 0.4817" Properties=species:S:1:pos:R:3 pbc="T T T"
Ce 2.5701 -3.6100 1.7033
Th -0.3507 -3.5513 -0.2257
Hg 2.7757 -4.2860 -1.2912
Ru 0.9063 -0.6912 0.1015
```

Summary:
Its symmetry is Pmm2. The total magnetization is 0.075 μB per atom. The density comes out at 11.38 Mg/m³.


#x
A plane-wave DFT calculation with PBE was carried out for a geometry-optimized CeThHgRu structure.

```
4
Lattice="5.1757 0.0000 0.0000 2.5879 4.4823 0.0000 2.5879 1.4941 4.2260" Properties=species:S:1:pos:R:3 pbc="T T T"
Ru 2.5879 1.4941 1.0565
Ce 5.1757 2.9882 2.1130
Hg 7.7636 4.4823 3.1695
Th 0.0000 0.0000 0.0000
```

Summary:
Its symmetry is F-43m. The total magnetization is 0.157 μB per atom. The density comes out at 11.41 Mg/m³.


Unit: meV/atom. Relative energies: #w 0; #x 27.


#w
A plane-wave DFT calculation with PBE was carried out for a geometry-optimized CeYHgRu structure.

```
4
Lattice="-2.2261 0.2576 2.5675 -2.5584 -0.6620 -2.1518 0.7932 -7.8662 1.4770" Properties=species:S:1:pos:R:3 pbc="T T T"
Ce -1.7713 -6.3600 1.3640
Y -2.1130 -2.9715 0.7278
Hg 0.0630 -0.6251 0.1174
Ru 0.4524 -4.4866 0.8424
```

Summary:
Its symmetry is P4mm. The total magnetization is 0.000 μB per atom. The density comes out at 9.43 Mg/m³.


#x
A plane-wave DFT calculation with PBE was carried out for a geometry-optimized CeYHgRu structure.

```
4
Lattice="5.0941 0.0000 0.0000 2.5470 4.4116 0.0000 2.5470 1.4705 4.1593" Properties=species:S:1:pos:R:3 pbc="T T T"
Y 5.0941 2.9411 2.0797
Ru 7.6411 4.4116 3.1195
Hg 2.5470 1.4705 1.0398
Ce 0.0000 0.0000 0.0000
```

Summary:
Its symmetry is F-43m. The total magnetization is 0.090 μB per atom. The density comes out at 9.43 Mg/m³.


Unit: meV/atom. Relative energies: #w 0; #x 132.